The following is a meta-GGA SCAN calculation of a crystal of CuS2BrN relaxed with PBEsol, from the Alexandria database.

Cell: 3.619 4.686 4.686 Å, 90.00 90.00 90.00°
Each line ends with the local moment (μB).
Positions (direct):
1 S 0.000 0.000 0.500  0.09
2 Cu 0.000 0.000 0.000  0.15
3 Br 0.500 0.500 0.500  0.04
4 S 0.000 0.500 0.000  0.09
5 N 0.500 0.000 0.000  1.16

Summary:
M_tot: 2.04 μB per cell
Total energy: -11.475 eV per atom
ΔE_f (raw): 1.17 eV/atom
Volume: 15.9 Å³/atom